{"formula": "NpGa3Pt3", "functional": "PBE", "state": "optimized geometry", "lattice_angstrom": [[-4.4423, -0.6788, -5.2042], [2.3144, -0.4526, -6.4589], [-0.3999, -6.5891, -3.3416]], "species": ["Pt", "Pt", "Pt", "Pt", "Pt", "Pt", "Np", "Np", "Ga", "Ga", "Ga", "Ga", "Ga", "Ga"], "fractional_positions": [[0.8216, 0.3094, 0.7851], [0.6906, 0.9160, 0.2149], [0.9160, 0.1784, 0.2149], [0.1784, 0.6906, 0.2149], [0.3094, 0.0840, 0.7851], [0.0840, 0.8216, 0.7851], [0.6608, 0.6608, 0.0175], [0.3392, 0.3392, 0.9825], [0.5409, 0.7350, 0.6283], [0.0958, 0.5409, 0.6283], [0.2650, 0.9042, 0.3717], [0.4591, 0.2650, 0.3717], [0.9042, 0.4591, 0.3717], [0.7350, 0.0958, 0.6283]], "formation_energy_mev_per_atom": -530, "dos_ef_per_ev_atom": 1.15, "magmom_total_mub_per_fu": 3.80, "de_polymorph_mev_per_atom": 0.0}

{"formula": "Cs3KAu", "functional": "PBE", "state": "optimized geometry", "lattice_angstrom": [[-6.1071, -3.8417, 4.6291], [7.0794, -4.7431, -0.9324], [1.5812, 8.0635, 2.4422]], "species": ["Cs", "Cs", "Cs", "Au", "K"], "fractional_positions": [[0.3907, 0.9625, 0.3907], [0.9625, 0.3907, 0.3907], [0.3907, 0.3907, 0.9625], [0.3187, 0.3187, 0.3187], [0.8124, 0.8124, 0.8124]], "formation_energy_mev_per_atom": -90, "dos_ef_per_ev_atom": 0.91, "magmom_total_mub_per_fu": 0.00, "de_polymorph_mev_per_atom": 47.9}

{"formula": "K3Pm2ScO6", "functional": "PBE", "state": "optimized geometry", "lattice_angstrom": [[-5.5996, -1.9608, 1.1860], [4.5494, -1.3881, 3.7394], [-0.7737, 6.3122, 1.6596]], "species": ["O", "O", "O", "O", "O", "O", "K", "K", "K", "Pm", "Pm", "Sc"], "fractional_positions": [[0.6267, 0.9383, 0.8145], [0.7498, 0.7498, 0.1844], [0.3733, 0.0617, 0.1855], [0.2502, 0.2502, 0.8156], [0.9383, 0.6267, 0.8145], [0.0617, 0.3733, 0.1855], [0.1621, 0.8379, 0.5000], [0.8379, 0.1621, 0.5000], [0.5000, 0.5000, 0.5000], [0.6668, 0.3332, 0.0000], [0.3332, 0.6668, 0.0000], [0.0000, 0.0000, 0.0000]], "raw_formation_energy_kj_per_mol_atoms": -256.3, "dos_ef_per_ev_atom": 0.00, "magmom_total_mub_per_fu": 0.00}

{"formula": "Tb2BeSi3", "functional": "PBE", "state": "optimized geometry", "lattice_angstrom": [[4.0658, 0.0000, 0.0000], [0.0000, 3.9499, 0.0000], [0.0000, 0.0000, 6.7718]], "species": ["Tb", "Tb", "Si", "Si", "Si", "Be"], "fractional_positions": [[0.0000, 0.5000, 0.0010], [0.0000, 0.0000, 0.5009], [0.5000, 0.5000, 0.6519], [0.5000, 0.0000, 0.1818], [0.5000, 0.0000, 0.8365], [0.5000, 0.5000, 0.3280]], "raw_formation_energy_kj_per_mol_atoms": -65.0, "dos_ef_per_ev_atom": 0.28, "magmom_total_mub_per_fu": 0.00, "de_polymorph_mev_per_atom": 21.0}

{"formula": "HfV2Mo", "functional": "PBE", "state": "optimized geometry", "lattice_angstrom": [[-1.6669, 1.8707, 1.8758], [-2.2195, -2.1962, 0.2180], [3.0496, -2.5597, 5.2627]], "species": ["V", "V", "Mo", "Hf"], "fractional_positions": [[0.0000, 0.0000, 0.2190], [0.0000, 0.0000, 0.7810], [0.5000, 0.5000, 0.0000], [0.5000, 0.5000, 0.5000]], "formation_energy_mev_per_atom": 15, "dos_ef_per_ev_atom": 1.72, "magmom_total_mub_per_fu": 0.01, "de_polymorph_mev_per_atom": 0.0}

{"formula": "Sm2BI", "functional": "PBE", "state": "optimized geometry", "lattice_angstrom": [[-0.7094, -3.9093, -0.7243], [2.6672, -2.7902, 1.1879], [-2.9333, -2.8191, 6.8296]], "species": ["B", "I", "Sm", "Sm"], "fractional_positions": [[0.0000, 0.0000, 0.0000], [0.5000, 0.5000, 0.5000], [0.7264, 0.7264, 0.8209], [0.2736, 0.2736, 0.1791]], "raw_formation_energy_kj_per_mol_atoms": -55.0, "dos_ef_per_ev_atom": 1.08, "magmom_total_mub_per_fu": 0.00}

{"formula": "BaLiGe", "functional": "PBE", "state": "optimized geometry", "lattice_angstrom": [[-3.6666, -3.4049, -0.6667], [3.5487, 0.6132, -3.5374], [4.3777, -5.3912, 3.4572]], "species": ["Ge", "Ge", "Li", "Li", "Ba", "Ba"], "fractional_positions": [[0.6667, 0.3333, 0.2926], [0.6667, 0.3333, 0.7074], [0.3333, 0.6667, 0.2735], [0.3333, 0.6667, 0.7265], [0.0000, 0.0000, 0.5000], [0.0000, 0.0000, 0.0000]], "formation_energy_mev_per_atom": -377, "dos_ef_per_ev_atom": 0.18, "magmom_total_mub_per_fu": 0.00}

{"formula": "Sr2TlCl", "functional": "PBE", "state": "optimized geometry", "lattice_angstrom": [[4.5941, 0.0000, 0.0000], [0.0000, 4.5906, 0.0000], [0.0000, 0.0000, 6.8269]], "species": ["Cl", "Sr", "Sr", "Tl"], "fractional_positions": [[0.5000, 0.5000, 0.8589], [0.5000, 0.5000, 0.4101], [0.0000, 0.0000, 0.8729], [0.0000, 0.0000, 0.3582]], "raw_formation_energy_kj_per_mol_atoms": -97.4, "dos_ef_per_ev_atom": 0.28, "magmom_total_mub_per_fu": 0.00, "de_polymorph_mev_per_atom": 75.0}